Entry 1:
Density functional theory data (PBE) for an optimized crystal structure of La3Al6Ni5.

Cell: 4.088 12.372 10.215 Å, 90.00 90.00 90.00°
Fractional coordinates of all 28 atoms:
1 La 0.250 0.086 0.246
2 La 0.250 0.414 0.246
3 La 0.250 0.750 0.263
4 La 0.750 0.250 0.737
5 La 0.750 0.586 0.754
6 La 0.750 0.914 0.754
7 Al 0.250 0.053 0.577
8 Al 0.250 0.250 0.483
9 Al 0.250 0.250 0.990
10 Al 0.250 0.447 0.577
11 Al 0.250 0.583 0.006
12 Al 0.250 0.917 0.006
13 Al 0.750 0.083 0.994
14 Al 0.750 0.417 0.994
15 Al 0.750 0.553 0.423
16 Al 0.750 0.750 0.010
17 Al 0.750 0.750 0.517
18 Al 0.750 0.947 0.423
19 Ni 0.250 0.080 0.852
20 Ni 0.250 0.420 0.852
21 Ni 0.250 0.645 0.531
22 Ni 0.250 0.750 0.876
23 Ni 0.250 0.855 0.531
24 Ni 0.750 0.145 0.469
25 Ni 0.750 0.250 0.124
26 Ni 0.750 0.355 0.469
27 Ni 0.750 0.580 0.148
28 Ni 0.750 0.920 0.148

## Properties
Magnetic moment   0.0000 μB per atom
Electronic total energy   -5.2418 eV/atom
E_form   -0.5172 eV per atom


Entry 2:
Density functional theory data (PBE) for an optimized crystal structure of Cs3Pm2NpSe6.

Cell: 7.567 7.567 8.759 Å, 98.26 98.26 119.94°
Fractional coordinates of all 12 atoms:
1 Cs 0.000 0.000 0.000
2 Cs 0.332 0.668 0.000
3 Cs 0.668 0.332 0.000
4 Pm 0.166 0.834 0.500
5 Pm 0.834 0.166 0.500
6 Np 0.500 0.500 0.500
7 Se 0.106 0.437 0.312
8 Se 0.232 0.232 0.689
9 Se 0.437 0.106 0.312
10 Se 0.563 0.894 0.688
11 Se 0.768 0.768 0.311
12 Se 0.894 0.563 0.688

## Properties
Magnetic moment   0.3335 μB per atom
Electronic total energy   -5.3806 eV/atom